<one>
{"formula": "Ba2AlTlFe2O7", "functional": "GGA+U", "state": "relaxed", "spacegroup": "P1, No. 1", "lattice": [[3.9848, 0.0000, 0.0000], [0.2842, 4.2510, 0.0000], [1.7015, 0.6497, 11.7159]], "species": ["Ba", "Ba", "Al", "Tl", "Fe", "Fe", "O", "O", "O", "O", "O", "O", "O"], "fractional_positions": [[0.0000, 0.0000, 0.0000], [0.2063, 0.0728, 0.5669], [0.1037, 0.0282, 0.2839], [0.6045, 0.5935, 0.7829], [0.4686, 0.4790, 0.1687], [0.7382, 0.5784, 0.3999], [0.0792, 0.8794, 0.7824], [0.2590, 0.6603, 0.3668], [0.4237, 0.9659, 0.1624], [0.5206, 0.4808, 0.9644], [0.6659, 0.5284, 0.6018], [0.7827, 0.0905, 0.4049], [0.9480, 0.3998, 0.2024]]}

=====

<two>
{"formula": "Ba2AlTlFe2O7", "functional": "GGA+U", "state": "relaxed", "spacegroup": "P4/mmm, No. 123", "lattice": [[3.8591, 0.0000, 0.0000], [0.0000, 3.8591, 0.0000], [0.0000, 0.0000, 12.8190]], "species": ["Ba", "Ba", "Al", "Tl", "Fe", "Fe", "O", "O", "O", "O", "O", "O", "O"], "fractional_positions": [[0.0000, 0.0000, 0.2054], [0.0000, 0.0000, 0.7946], [0.0000, 0.0000, 0.5000], [0.5000, 0.5000, 0.0000], [0.5000, 0.5000, 0.3816], [0.5000, 0.5000, 0.6184], [0.0000, 0.0000, 0.0000], [0.0000, 0.5000, 0.4018], [0.0000, 0.5000, 0.5982], [0.5000, 0.0000, 0.4018], [0.5000, 0.0000, 0.5982], [0.5000, 0.5000, 0.1739], [0.5000, 0.5000, 0.8261]]}

=====

Most stable: <one>. Least stable: <two>.